Version 1
This record from Alexandria via LeMat-Bulk describes a geometry-optimized TaCrSe2 structure. The functional is GGA-PBEsol.

a = 3.2180 Å, b = 3.2180 Å, c = 6.4666 Å
α = 90.00°, β = 90.00°, γ = 90.00°
Atoms (fractional coordinates):
Cr (0.5000, 0.5000, 0.5000)
Se (0.0000, 0.0000, 0.7642)
Se (0.0000, 0.0000, 0.2358)
Ta (0.5000, 0.5000, 0.0000)

Calculated values
Symmetry: P4/mmm (123)
Density of states at the Fermi level (states/eV per atom): 0.61


Version 2
This record from Alexandria via LeMat-Bulk describes a geometry-optimized TaCrSe2 structure. The functional is GGA-PBEsol.

a = 3.2884 Å, b = 4.3032 Å, c = 5.4777 Å
α = 97.37°, β = 90.00°, γ = 112.46°
Atoms (fractional coordinates):
Cr (0.5000, 0.0000, 0.0000)
Se (0.7204, 0.4408, 0.7338)
Se (0.2796, 0.5592, 0.2662)
Ta (0.0000, 0.0000, 0.5000)

Calculated values
Symmetry: C2/m (12)
Density of states at the Fermi level (states/eV per atom): 0.59


So which one is most stable? That would be version 1, about 107 meV/atom below the next structure.


Version 1
This record from Alexandria via LeMat-Bulk describes a geometry-optimized CrTeSe structure. The functional is GGA-PBEsol.

a = 3.5668 Å, b = 3.5668 Å, c = 5.9270 Å
α = 90.00°, β = 90.00°, γ = 120.00°
Atoms (fractional coordinates):
Cr (0.0000, 0.0000, 0.9758)
Te (0.6667, 0.3333, 0.2673)
Se (0.3333, 0.6667, 0.7569)

Calculated values
Symmetry: P3m1 (156)
Density of states at the Fermi level (states/eV per atom): 0.56


Version 2
This record from Alexandria via LeMat-Bulk describes a geometry-optimized CrTeSe structure. The functional is GGA-PBEsol.

a = 3.0436 Å, b = 3.0436 Å, c = 6.6273 Å
α = 103.28°, β = 103.28°, γ = 90.00°
Atoms (fractional coordinates):
Cr (0.0091, 0.0091, 0.0183)
Te (0.3724, 0.3724, 0.7448)
Se (0.6184, 0.6184, 0.2369)

Calculated values
Symmetry: I4mm (107)
Density of states at the Fermi level (states/eV per atom): 0.42


So which one is most stable? That would be version 1, about 269 meV/atom below the next structure.


Version 1
This record from Alexandria via LeMat-Bulk describes a geometry-optimized CrWSe2 structure. The functional is GGA-PBEsol.

a = 2.9702 Å, b = 2.9702 Å, c = 8.4637 Å
α = 79.89°, β = 79.89°, γ = 60.00°
Atoms (fractional coordinates):
Cr (0.5000, 0.5000, 0.5000)
Se (0.8999, 0.8999, 0.3004)
Se (0.1001, 0.1001, 0.6996)
W (0.0000, 0.0000, 0.0000)

Calculated values
Symmetry: R-3m (166)
Density of states at the Fermi level (states/eV per atom): 0.66


Version 2
This record from Alexandria via LeMat-Bulk describes a geometry-optimized CrWSe2 structure. The functional is GGA-PBEsol.

a = 4.4037 Å, b = 4.4037 Å, c = 4.4037 Å
α = 60.00°, β = 60.00°, γ = 60.00°
Atoms (fractional coordinates):
Cr (0.0000, 0.0000, 0.0000)
Se (0.2500, 0.2500, 0.2500)
Se (0.7500, 0.7500, 0.7500)
W (0.5000, 0.5000, 0.5000)

Calculated values
Symmetry: Fm-3m (225)
Density of states at the Fermi level (states/eV per atom): 0.95


Version 3
This record from Alexandria via LeMat-Bulk describes a geometry-optimized CrWSe2 structure. The functional is GGA-PBEsol.

a = 3.4203 Å, b = 3.7384 Å, c = 6.7950 Å
α = 105.97°, β = 104.58°, γ = 90.00°
Atoms (fractional coordinates):
Cr (0.0000, 0.5000, 0.0000)
Se (0.3572, 0.3572, 0.7144)
Se (0.6428, 0.6428, 0.2856)
W (0.5000, 0.0000, 0.0000)

Calculated values
Symmetry: Immm (71)
Density of states at the Fermi level (states/eV per atom): 0.53


So which one is most stable? That would be version 3, about 209 meV/atom below the next structure.


Version 1
This record from Alexandria via LeMat-Bulk describes a geometry-optimized Cr3Si structure. The functional is GGA-PBEsol.

a = 2.9531 Å, b = 3.9217 Å, c = 3.9217 Å
α = 90.00°, β = 90.00°, γ = 90.00°
Atoms (fractional coordinates):
Cr (0.0000, 0.0000, 0.5000)
Cr (0.5000, 0.5000, 0.5000)
Cr (0.0000, 0.5000, 0.0000)
Si (0.5000, 0.0000, 0.0000)

Calculated values
Symmetry: P4/mmm (123)
Density of states at the Fermi level (states/eV per atom): 0.67


Version 2
This record from Alexandria via LeMat-Bulk describes a geometry-optimized Cr3Si structure. The functional is GGA-PBEsol.

a = 4.4640 Å, b = 4.4640 Å, c = 4.4640 Å
α = 90.00°, β = 90.00°, γ = 90.00°
Atoms (fractional coordinates):
Cr (0.7500, 0.5000, 0.0000)
Cr (0.2500, 0.5000, 0.0000)
Cr (0.0000, 0.7500, 0.5000)
Cr (0.0000, 0.2500, 0.5000)
Cr (0.5000, 0.0000, 0.2500)
Cr (0.5000, 0.0000, 0.7500)
Si (0.0000, 0.0000, 0.0000)
Si (0.5000, 0.5000, 0.5000)

Calculated values
Symmetry: Pm-3n (223)
Density of states at the Fermi level (states/eV per atom): 0.67


So which one is most stable? That would be version 2, about 235 meV/atom below the next structure.


Version 1
This record from Alexandria via LeMat-Bulk describes a geometry-optimized Cr2SiTe structure. The functional is GGA-PBEsol.

a = 3.0621 Å, b = 3.0621 Å, c = 6.0076 Å
α = 90.00°, β = 90.00°, γ = 90.00°
Atoms (fractional coordinates):
Cr (0.0000, 0.0000, 0.7931)
Cr (0.0000, 0.0000, 0.2069)
Si (0.5000, 0.5000, 0.0000)
Te (0.5000, 0.5000, 0.5000)

Calculated values
Symmetry: P4/mmm (123)
Density of states at the Fermi level (states/eV per atom): 0.70


Version 2
This record from Alexandria via LeMat-Bulk describes a geometry-optimized Cr2SiTe structure. The functional is GGA-PBEsol.

a = 3.1311 Å, b = 4.4482 Å, c = 4.5509 Å
α = 105.19°, β = 110.12°, γ = 90.00°
Atoms (fractional coordinates):
Cr (0.9977, 0.9720, 0.9953)
Cr (0.7607, 0.3205, 0.5214)
Si (0.4898, 0.4150, 0.9797)
Te (0.2518, 0.7924, 0.5036)

Calculated values
Symmetry: Cm (8)
Density of states at the Fermi level (states/eV per atom): 0.60


So which one is most stable? That would be version 2, about 38 meV/atom below the next structure.


Version 1
This record from Alexandria via LeMat-Bulk describes a geometry-optimized SrCrTc2 structure. The functional is GGA-PBEsol.

a = 2.9243 Å, b = 2.9243 Å, c = 9.1786 Å
α = 80.83°, β = 80.83°, γ = 60.00°
Atoms (fractional coordinates):
Cr (0.5000, 0.5000, 0.5000)
Sr (0.0000, 0.0000, 0.0000)
Tc (0.2322, 0.2322, 0.3034)
Tc (0.7678, 0.7678, 0.6966)

Calculated values
Symmetry: R-3m (166)
Density of states at the Fermi level (states/eV per atom): 1.17


Version 2
This record from Alexandria via LeMat-Bulk describes a geometry-optimized SrCrTc2 structure. The functional is GGA-PBEsol.

a = 3.0938 Å, b = 4.8659 Å, c = 5.7379 Å
α = 104.08°, β = 90.00°, γ = 108.54°
Atoms (fractional coordinates):
Cr (0.5433, 0.0866, 0.6319)
Sr (0.7504, 0.5008, 0.2501)
Tc (0.9635, 0.9270, 0.8722)
Tc (0.2428, 0.4856, 0.7458)

Calculated values
Symmetry: Cm (8)
Density of states at the Fermi level (states/eV per atom): 0.80


So which one is most stable? That would be version 2, about 143 meV/atom below the next structure.


Version 1
This record from Alexandria via LeMat-Bulk describes a geometry-optimized SrTlCr2 structure. The functional is GGA-PBEsol.

a = 3.2468 Å, b = 3.2468 Å, c = 7.8001 Å
α = 90.00°, β = 90.00°, γ = 90.00°
Atoms (fractional coordinates):
Cr (0.0000, 0.0000, 0.0513)
Cr (0.5000, 0.5000, 0.1654)
Sr (0.0000, 0.0000, 0.4810)
Tl (0.5000, 0.5000, 0.8023)

Calculated values
Symmetry: P4mm (99)
Density of states at the Fermi level (states/eV per atom): 0.50


Version 2
This record from Alexandria via LeMat-Bulk describes a geometry-optimized SrTlCr2 structure. The functional is GGA-PBEsol.

a = 3.7087 Å, b = 3.7087 Å, c = 6.7188 Å
α = 90.00°, β = 90.00°, γ = 90.00°
Atoms (fractional coordinates):
Cr (0.0000, 0.0000, 0.6384)
Cr (0.0000, 0.0000, 0.3616)
Sr (0.5000, 0.5000, 0.0000)
Tl (0.5000, 0.5000, 0.5000)

Calculated values
Symmetry: P4/mmm (123)
Density of states at the Fermi level (states/eV per atom): 0.87


So which one is most stable? That would be version 1, about 369 meV/atom below the next structure.


Version 1
This record from Alexandria via LeMat-Bulk describes a geometry-optimized SrCrW2 structure. The functional is GGA-PBEsol.

a = 2.7837 Å, b = 2.7837 Å, c = 9.5557 Å
α = 90.00°, β = 90.00°, γ = 109.45°
Atoms (fractional coordinates):
Cr (0.0000, 0.0000, 0.5395)
Sr (0.5000, 0.5000, 0.2590)
W (0.0000, 0.0000, 0.9640)
W (0.5000, 0.5000, 0.7375)

Calculated values
Symmetry: Cmm2 (35)
Density of states at the Fermi level (states/eV per atom): 0.81


Version 2
This record from Alexandria via LeMat-Bulk describes a geometry-optimized SrCrW2 structure. The functional is GGA-PBEsol.

a = 4.6651 Å, b = 4.6651 Å, c = 4.6651 Å
α = 60.00°, β = 60.00°, γ = 60.00°
Atoms (fractional coordinates):
Cr (0.5000, 0.5000, 0.5000)
Sr (0.2500, 0.2500, 0.2500)
W (0.0000, 0.0000, 0.0000)
W (0.7500, 0.7500, 0.7500)

Calculated values
Symmetry: F-43m (216)
Density of states at the Fermi level (states/eV per atom): 1.15


Version 3
This record from Alexandria via LeMat-Bulk describes a geometry-optimized SrCrW2 structure. The functional is GGA-PBEsol.

a = 4.5501 Å, b = 4.5501 Å, c = 4.5501 Å
α = 60.00°, β = 60.00°, γ = 60.00°
Atoms (fractional coordinates):
Cr (0.0000, 0.0000, 0.0000)
Sr (0.5000, 0.5000, 0.5000)
W (0.2500, 0.2500, 0.2500)
W (0.7500, 0.7500, 0.7500)

Calculated values
Symmetry: Fm-3m (225)
Density of states at the Fermi level (states/eV per atom): 1.00


So which one is most stable? That would be version 1, about 380 meV/atom below the next structure.


Version 1
This record from Alexandria via LeMat-Bulk describes a geometry-optimized SrZrCr2 structure. The functional is GGA-PBEsol.

a = 3.2436 Å, b = 3.2436 Å, c = 9.6821 Å
α = 80.36°, β = 80.36°, γ = 60.00°
Atoms (fractional coordinates):
Cr (0.2601, 0.2601, 0.2196)
Cr (0.7399, 0.7399, 0.7804)
Sr (0.5000, 0.5000, 0.5000)
Zr (0.0000, 0.0000, 0.0000)

Calculated values
Symmetry: R-3m (166)
Density of states at the Fermi level (states/eV per atom): 1.05


Version 2
This record from Alexandria via LeMat-Bulk describes a geometry-optimized SrZrCr2 structure. The functional is GGA-PBEsol.

a = 4.8793 Å, b = 4.8793 Å, c = 4.8793 Å
α = 60.00°, β = 60.00°, γ = 60.00°
Atoms (fractional coordinates):
Cr (0.7500, 0.7500, 0.7500)
Cr (0.2500, 0.2500, 0.2500)
Sr (0.5000, 0.5000, 0.5000)
Zr (0.0000, 0.0000, 0.0000)

Calculated values
Symmetry: Fm-3m (225)
Density of states at the Fermi level (states/eV per atom): 0.86


So which one is most stable? That would be version 2, about 72 meV/atom below the next structure.


Version 1
This record from Alexandria via LeMat-Bulk describes a geometry-optimized Sr2ZrCr structure. The functional is GGA-PBEsol.

a = 4.7166 Å, b = 4.7166 Å, c = 5.1666 Å
α = 90.00°, β = 90.00°, γ = 90.00°
Atoms (fractional coordinates):
Cr (0.0000, 0.0000, 0.5000)
Sr (0.0000, 0.5000, 0.0000)
Sr (0.5000, 0.0000, 0.0000)
Zr (0.5000, 0.5000, 0.5000)

Calculated values
Symmetry: P4/mmm (123)
Density of states at the Fermi level (states/eV per atom): 1.63


Version 2
This record from Alexandria via LeMat-Bulk describes a geometry-optimized Sr2ZrCr structure. The functional is GGA-PBEsol.

a = 3.7011 Å, b = 5.7226 Å, c = 5.7226 Å
α = 90.00°, β = 90.00°, γ = 90.00°
Atoms (fractional coordinates):
Cr (0.5000, 0.0000, 0.0000)
Sr (0.0000, 0.0000, 0.5000)
Sr (0.0000, 0.5000, 0.0000)
Zr (0.5000, 0.5000, 0.5000)

Calculated values
Symmetry: P4/mmm (123)
Density of states at the Fermi level (states/eV per atom): 1.09


So which one is most stable? That would be version 1, about 13 meV/atom below the next structure.


Version 1
This record from Alexandria via LeMat-Bulk describes a geometry-optimized TaCr2 structure. The functional is GGA-PBEsol.

a = 4.8419 Å, b = 4.8419 Å, c = 15.8516 Å
α = 90.00°, β = 90.00°, γ = 120.00°
Atoms (fractional coordinates):
Cr (0.3333, 0.6667, 0.8759)
Cr (0.6667, 0.3333, 0.1241)
Cr (0.6667, 0.3333, 0.3759)
Cr (0.3333, 0.6667, 0.6241)
Cr (0.0000, 0.5000, 0.0000)
Cr (0.5000, 0.0000, 0.0000)
Cr (0.5000, 0.5000, 0.0000)
Cr (0.0000, 0.5000, 0.5000)
Cr (0.5000, 0.0000, 0.5000)
Cr (0.5000, 0.5000, 0.5000)
Cr (0.6725, 0.8362, 0.7500)
Cr (0.1638, 0.3275, 0.7500)
Cr (0.1638, 0.8362, 0.7500)
Cr (0.3275, 0.1638, 0.2500)
Cr (0.8362, 0.6725, 0.2500)
Cr (0.8362, 0.1638, 0.2500)
Ta (0.0000, 0.0000, 0.9056)
Ta (0.0000, 0.0000, 0.0944)
Ta (0.0000, 0.0000, 0.4056)
Ta (0.0000, 0.0000, 0.5944)
Ta (0.3333, 0.6667, 0.1562)
Ta (0.6667, 0.3333, 0.8438)
Ta (0.6667, 0.3333, 0.6562)
Ta (0.3333, 0.6667, 0.3438)

Calculated values
Symmetry: P6_3/mmc (194)
Density of states at the Fermi level (states/eV per atom): 0.82


Version 2
This record from Alexandria via LeMat-Bulk describes a geometry-optimized TaCr2 structure. The functional is GGA-PBEsol.

a = 4.4334 Å, b = 4.4334 Å, c = 4.8036 Å
α = 90.00°, β = 90.00°, γ = 120.00°
Atoms (fractional coordinates):
Cr (0.0000, 0.0000, 0.0000)
Cr (0.0000, 0.0000, 0.5000)
Cr (0.6667, 0.3333, 0.7500)
Cr (0.3333, 0.6667, 0.2500)
Ta (0.6667, 0.3333, 0.2500)
Ta (0.3333, 0.6667, 0.7500)

Calculated values
Symmetry: P6_3/mmc (194)
Density of states at the Fermi level (states/eV per atom): 1.32


Version 3
This record from Alexandria via LeMat-Bulk describes a geometry-optimized TaCr2 structure. The functional is GGA-PBEsol.

a = 4.8446 Å, b = 4.8446 Å, c = 4.8446 Å
α = 60.00°, β = 60.00°, γ = 60.00°
Atoms (fractional coordinates):
Cr (0.1250, 0.6250, 0.6250)
Cr (0.6250, 0.6250, 0.6250)
Cr (0.6250, 0.6250, 0.1250)
Cr (0.6250, 0.1250, 0.6250)
Ta (0.0000, 0.0000, 0.0000)
Ta (0.2500, 0.2500, 0.2500)

Calculated values
Symmetry: Fd-3m (227)
Density of states at the Fermi level (states/eV per atom): 0.87


So which one is most stable? That would be version 3, about 5 meV/atom below the next structure.


Version 1
This record from Alexandria via LeMat-Bulk describes a geometry-optimized Ta5Cr structure. The functional is GGA-PBEsol.

a = 4.4695 Å, b = 5.5111 Å, c = 5.5111 Å
α = 120.00°, β = 90.00°, γ = 90.00°
Atoms (fractional coordinates):
Cr (0.0000, 0.0000, 0.0000)
Ta (0.5000, 0.0000, 0.5000)
Ta (0.0000, 0.6667, 0.3333)
Ta (0.5000, 0.5000, 0.5000)
Ta (0.5000, 0.5000, 0.0000)
Ta (0.0000, 0.3333, 0.6667)

Calculated values
Symmetry: P6/mmm (191)
Density of states at the Fermi level (states/eV per atom): 1.08


Version 2
This record from Alexandria via LeMat-Bulk describes a geometry-optimized Ta5Cr structure. The functional is GGA-PBEsol.

a = 3.1914 Å, b = 5.3366 Å, c = 6.4587 Å
α = 107.33°, β = 90.00°, γ = 107.40°
Atoms (fractional coordinates):
Cr (0.0000, 0.0000, 0.0000)
Ta (0.3430, 0.6859, 0.1591)
Ta (0.6629, 0.3258, 0.3202)
Ta (0.0000, 0.0000, 0.5000)
Ta (0.3371, 0.6742, 0.6798)
Ta (0.6570, 0.3141, 0.8409)

Calculated values
Symmetry: C2/m (12)
Density of states at the Fermi level (states/eV per atom): 1.26


Version 3
This record from Alexandria via LeMat-Bulk describes a geometry-optimized Ta5Cr structure. The functional is GGA-PBEsol.

a = 3.2051 Å, b = 4.6154 Å, c = 6.9273 Å
α = 90.00°, β = 103.38°, γ = 90.00°
Atoms (fractional coordinates):
Cr (0.5000, 0.0000, 0.0000)
Ta (0.6662, 0.5000, 0.3324)
Ta (0.8433, 0.0000, 0.6865)
Ta (0.0000, 0.5000, 0.0000)
Ta (0.1567, 0.0000, 0.3135)
Ta (0.3338, 0.5000, 0.6676)

Calculated values
Symmetry: Cmmm (65)
Density of states at the Fermi level (states/eV per atom): 1.27


So which one is most stable? That would be version 2, about 13 meV/atom below the next structure.